[1]
Compound: Ac2GeAu3
Source: Alexandria
Functional: PBE-GGA
Structure: optimized geometry

Structure (CIF):
```
data_Ac2GeAu3
_chemical_formula_sum 'Ac16 Ge8 Au24'
_space_group_name_H-M_alt 'F m m m'
_space_group_IT_number 69
_space_group_name_Hall '-F 2 2'
_cell_length_a 8.150
_cell_length_b 9.468
_cell_length_c 16.426
_cell_angle_alpha 90.00
_cell_angle_beta 90.00
_cell_angle_gamma 90.00
loop_
_atom_site_label
_atom_site_fract_x
_atom_site_fract_y
_atom_site_fract_z
Ac1 0.239 0.000 0.000
Ac2 0.250 0.250 0.250
Ge1 0.000 0.000 0.335
Au1 0.000 0.000 0.172
Au2 0.000 0.241 0.414
```

For the energy above the most stable polymorph in this dataset, the calculation gives 0.000 eV per atom. The value obtained for the total magnetization is 0.000 μB/atom. For the density of states at the Fermi level, the calculation gives 0.552 states/eV/atom. The calculation puts the uncorrected energy at -220.83 eV/cell. For the formation energy from the elements, the calculation gives -0.82 eV/atom. The value obtained for the volume is 26.40 Å³ per atom.


[2]
Compound: Ac2Ge5Au12
Source: Alexandria
Functional: PBE-GGA
Structure: optimized geometry

Structure (CIF):
```
data_Ac2Ge5Au12
_chemical_formula_sum 'Ac6 Ge15 Au36'
_space_group_name_H-M_alt 'R -3 m'
_space_group_IT_number 166
_space_group_name_Hall '-R 3 2"'
_cell_length_a 9.9824
_cell_length_b 9.9824
_cell_length_c 13.7008
_cell_angle_alpha 90.00
_cell_angle_beta 90.00
_cell_angle_gamma 120.00
loop_
_atom_site_label
_atom_site_fract_x
_atom_site_fract_y
_atom_site_fract_z
Ac1 0.0000 0.0000 0.1612
Ge1 0.0000 0.0000 0.4036
Ge2 0.0000 0.5000 0.0000
Au1 0.0000 0.3070 0.5000
Au2 0.0061 0.5031 0.6540
```

The value obtained for the total magnetization is 0.000 μB/atom. For the density of states at the Fermi level, the calculation gives 0.506 states/eV/atom. The calculation puts the uncorrected energy at -226.77 eV/cell. For the formation energy from the elements, the calculation gives -0.26 eV/atom. The value obtained for the volume is 20.74 Å³ per atom.


[3]
Compound: AcGe4Au12
Source: Alexandria
Functional: PBE-GGA
Structure: optimized geometry

Structure (CIF):
```
data_AcGe4Au12
_chemical_formula_sum 'Ac2 Ge8 Au24'
_space_group_name_H-M_alt 'I m -3'
_space_group_IT_number 204
_space_group_name_Hall '-I 2 2 3'
_cell_length_a 9.099
_cell_length_b 9.099
_cell_length_c 9.099
_cell_angle_alpha 90.00
_cell_angle_beta 90.00
_cell_angle_gamma 90.00
loop_
_atom_site_label
_atom_site_fract_x
_atom_site_fract_y
_atom_site_fract_z
Ac1 0.000 0.000 0.000
Ge1 0.250 0.250 0.250
Au1 0.000 0.345 0.155
```

The value obtained for the total magnetization is 0.000 μB/atom. For the density of states at the Fermi level, the calculation gives 0.555 states/eV/atom. The calculation puts the uncorrected energy at -125.16 eV/cell. For the formation energy from the elements, the calculation gives -0.04 eV/atom. The value obtained for the volume is 22.16 Å³ per atom.


[4]
Compound: Ac4GeAu
Source: Alexandria
Functional: PBE-GGA
Structure: optimized geometry

Structure (CIF):
```
data_Ac4GeAu
_chemical_formula_sum 'Ac4 Ge1 Au1'
_space_group_name_H-M_alt 'P 4/m m m'
_space_group_IT_number 123
_space_group_name_Hall '-P 4 2'
_cell_length_a 5.395
_cell_length_b 5.395
_cell_length_c 7.687
_cell_angle_alpha 90.00
_cell_angle_beta 90.00
_cell_angle_gamma 90.00
loop_
_atom_site_label
_atom_site_fract_x
_atom_site_fract_y
_atom_site_fract_z
Ac1 0.000 0.500 0.250
Ge1 0.000 0.000 0.000
Au1 0.500 0.500 0.500
```

The value obtained for the total magnetization is 0.000 μB/atom. For the density of states at the Fermi level, the calculation gives 1.440 states/eV/atom. The calculation puts the uncorrected energy at -26.61 eV/cell. For the formation energy from the elements, the calculation gives -0.38 eV/atom. The value obtained for the volume is 37.29 Å³ per atom.


[5]
Compound: Ac3Ge4Au4
Source: Alexandria
Functional: PBE-GGA
Structure: optimized geometry

Structure (CIF):
```
data_Ac3Ge4Au4
_chemical_formula_sum 'Ac6 Ge8 Au8'
_space_group_name_H-M_alt 'I m m m'
_space_group_IT_number 71
_space_group_name_Hall '-I 2 2'
_cell_length_a 4.549
_cell_length_b 4.558
_cell_length_c 26.067
_cell_angle_alpha 90.00
_cell_angle_beta 90.00
_cell_angle_gamma 90.00
loop_
_atom_site_label
_atom_site_fract_x
_atom_site_fract_y
_atom_site_fract_z
Ac1 0.000 0.000 0.000
Ac2 0.000 0.500 0.151
Ge1 0.000 0.000 0.451
Ge2 0.000 0.500 0.306
Au1 0.000 0.000 0.250
Au2 0.000 0.500 0.405
```

The value obtained for the total magnetization is 0.000 μB/atom. For the density of states at the Fermi level, the calculation gives 0.606 states/eV/atom. The calculation puts the uncorrected energy at -103.78 eV/cell. For the formation energy from the elements, the calculation gives -0.73 eV/atom. The value obtained for the volume is 24.57 Å³ per atom.


[6]
Compound: AcGeAu
Source: Alexandria
Functional: PBE-GGA
Structure: optimized geometry

Structure (CIF):
```
data_AcGeAu
_chemical_formula_sum 'Ac2 Ge2 Au2'
_space_group_name_H-M_alt 'P 63/m m c'
_space_group_IT_number 194
_space_group_name_Hall '-P 6c 2c'
_cell_length_a 4.6049
_cell_length_b 4.6049
_cell_length_c 8.5562
_cell_angle_alpha 90.00
_cell_angle_beta 90.00
_cell_angle_gamma 120.00
loop_
_atom_site_label
_atom_site_fract_x
_atom_site_fract_y
_atom_site_fract_z
Ac1 0.0000 0.0000 0.0000
Ge1 0.3333 0.6667 0.2500
Au1 0.3333 0.6667 0.7500
```

For the energy above the most stable polymorph in this dataset, the calculation gives 0.000 eV per atom. The value obtained for the total magnetization is 0.000 μB/atom. For the density of states at the Fermi level, the calculation gives 0.162 states/eV/atom. The calculation puts the uncorrected energy at -29.04 eV/cell. For the formation energy from the elements, the calculation gives -0.84 eV/atom. The value obtained for the volume is 26.19 Å³ per atom.